Compound: InRePb2
Source: the Alexandria database
Functional: PBEsol
Structure: relaxed

```
InRePb2
1.0
3.4704 0.0000 0.0000
0.0000 5.2279 0.0000
0.0000 0.0000 10.2773
In Re Pb
2 2 4
Cartesian
0.0000 0.0000 0.0000
1.7352 2.6140 0.0000
0.0000 2.6140 2.1023
1.7352 0.0000 2.1023
0.0000 0.0000 4.3031
0.0000 2.6140 7.5706
1.7352 0.0000 7.5706
1.7352 2.6140 4.3031
```

Computed properties:
energy of formation from the pure elements	677	meV per atom
symmetry	Cmm2, No. 35
ΔE to the lowest computed polymorph	0.049	eV per atom
density of states at the Fermi level	0.791	states/eV/atom

***

Compound: Y5Si3
Source: the Alexandria database
Functional: PBEsol
Structure: relaxed

```
Y5Si3
1.0
8.3692 0.0000 0.0000
-4.1846 7.2479 0.0000
0.0000 0.0000 6.2848
Y Si
10 6
Cartesian
-1.0188 1.7647 1.5712
-3.1658 5.4833 4.7136
2.0376 0.0000 1.5712
1.0188 1.7647 4.7136
0.0000 4.8319 0.0000
0.0000 4.8319 3.1424
4.1846 2.4160 0.0000
4.1846 2.4160 3.1424
6.3315 0.0000 4.7136
3.1658 5.4833 1.5712
-1.6524 2.8621 4.7136
-2.5322 4.3858 1.5712
3.3048 0.0000 4.7136
1.6524 2.8621 1.5712
5.0643 0.0000 1.5712
2.5322 4.3858 4.7136
```

Computed properties:
symmetry	P6_3/mcm, No. 193
ΔE to the lowest computed polymorph	0.000	eV per atom
density of states at the Fermi level	0.719	states/eV/atom

***

Compound: RbBe2B3O7
Source: the Alexandria database
Functional: PBEsol
Structure: relaxed

```
RbBe2B3O7
1.0
7.6959 0.0000 0.0000
0.0000 17.7488 0.0000
0.0000 0.0000 4.4023
Rb Be B O
4 8 12 28
Cartesian
0.0000 2.4880 0.0000
0.0000 11.5011 2.0760
3.8479 6.2477 4.2771
3.8479 15.2608 2.2012
1.3502 8.2190 1.7249
1.4401 17.0359 4.3303
2.4078 0.7128 2.1291
2.4978 9.5298 3.9261
5.1981 9.5298 3.9261
5.2881 0.7128 2.1291
6.2557 17.0359 4.3303
6.3457 8.2190 1.7249
0.0000 8.7225 3.9439
0.0000 17.4077 2.1400
1.2215 14.5171 0.3194
1.2716 5.4371 2.0915
2.5764 12.3116 4.2927
2.6264 3.2317 2.5205
3.8479 0.3410 4.3412
3.8479 9.0263 1.7428
5.0695 3.2317 2.5205
5.1195 12.3116 4.2927
6.4243 5.4371 2.0915
6.4744 14.5171 0.3194
0.0000 4.8773 2.2458
0.0000 8.6956 0.9152
0.0000 14.8009 0.9439
0.0000 17.2907 3.5187
1.1952 8.7638 3.2635
1.2082 17.5225 1.4761
1.5134 13.1647 0.2157
1.5860 6.6647 1.7030
1.8603 2.2323 2.0739
1.9877 15.5164 4.2751
2.2619 11.0841 3.9042
2.3346 4.5841 2.4168
2.6398 0.2263 3.6772
2.6527 8.9849 1.0623
3.8479 0.4581 1.3175
3.8479 2.9479 3.1450
3.8479 9.0532 3.1163
3.8479 12.8715 0.0446
5.0432 8.9849 1.0623
5.0561 0.2263 3.6772
5.3613 4.5841 2.4168
5.4340 11.0841 3.9042
5.7082 15.5164 4.2751
5.8356 2.2323 2.0739
6.1099 6.6647 1.7030
6.1825 13.1647 0.2157
6.4877 17.5225 1.4761
6.5006 8.7638 3.2635
```

Computed properties:
symmetry	Pmn2_1, No. 31
density of states at the Fermi level	0.000	states/eV/atom

***

Compound: K2NiP4H8O16
Source: the Alexandria database
Functional: PBEsol
Structure: relaxed

```
K2NiP4H8O16
1.0
6.8549 0.0000 0.0000
0.7510 7.2533 0.0000
2.1284 1.0098 7.0383
K Ni P H O
2 1 4 8 16
Cartesian
1.6395 2.0425 2.1230
8.0948 6.2206 4.9153
4.4916 0.5049 3.5191
3.5718 2.9953 5.3695
3.3060 5.8440 1.7036
6.4283 2.4191 5.3347
6.1625 5.2678 1.6688
1.1585 5.6926 0.4861
3.1440 4.4281 3.4020
4.9764 6.8522 5.9936
4.6418 5.6754 4.9569
5.0925 2.5877 2.0814
4.7579 1.4109 1.0447
6.5903 3.8350 3.6363
8.5758 2.5705 6.5522
2.6969 3.0263 6.6496
2.7514 4.5540 2.3873
2.4149 6.2207 0.5310
3.2441 1.8469 4.4472
3.5822 4.3686 4.6823
3.5401 6.9264 2.7328
5.0299 2.8105 6.0407
5.2291 6.4748 5.0993
4.5052 1.7883 1.9390
4.7044 5.4526 0.9976
6.1942 1.3367 4.3055
6.1521 3.8945 2.3560
6.4902 6.4162 2.5911
7.3194 2.0424 6.5073
6.9829 3.7091 4.6510
7.0373 5.2368 0.3887
```

Computed properties:
symmetry	P-1, No. 2

***

Uncorrected energy (computed, eV/atom): -5.401, -7.184, -7.660, -6.300